First-principles (PBE) data for an optimized crystal structure of RbNaCr2Cl8, as listed in Alexandria via LeMat-Bulk.

abc: 6.7829 6.7829 9.4741
angles: 90.00 90.00 120.00
Last column: nearest neighbours and their distance in Å.
Space group P-3 (No. 147)
Asymmetric unit:
1 Rb 0.0000 0.0000 0.0000  12 Cl 3.65-3.92
2 Na 0.0000 0.0000 0.5000  6 Cl 2.84
3 Cr 0.3333 0.6667 0.7479  4 Cl 2.18-2.24
4 Cl 0.0264 0.3347 0.6920  1 Cr 2.24
5 Cl 0.3333 0.6667 0.9783  1 Cr 2.18

- uncorrected energy (eV for the cell shown) = -50.823
- M_tot (μB/cell) = 6.00
- DOS at the Fermi energy (states/eV/f.u.) = 12.95